No. 1
This record from Alexandria describes TlIn2Ga at its PBEsol-relaxed geometry. The functional is meta-GGA SCAN.

The structure in POSCAR format:
```
TlIn2Ga
1.0
5.974 0.000 0.000
2.987 5.811 0.000
2.987 0.000 5.811
Tl Ga In
2 2 4
Cartesian
7.468 2.905 2.905
0.000 0.000 0.000
4.481 2.905 2.905
2.987 0.000 0.000
5.228 5.589 2.683
5.228 0.222 3.128
3.734 2.683 0.222
9.708 3.128 5.589
```

calculated volume	25.22	Å³/atom
formation energy	0.101	eV per atom
distance to the lowest polymorph of the same formula	0	meV per atom

=====

No. 2
This record from Alexandria describes NaRe2PdPb at its PBEsol-relaxed geometry. The functional is meta-GGA SCAN.

The structure in POSCAR format:
```
NaRe2PdPb
1.0
-1.190 -0.173 4.255
3.295 -3.163 0.792
3.013 3.384 0.980
Pb Re Pd Na
1 2 1 1
Cartesian
2.559 0.023 3.014
1.506 1.692 0.490
1.647 -1.582 0.396
-0.595 -0.087 2.128
0.000 0.000 0.000
```

calculated volume	19.00	Å³/atom
formation energy	2.477	eV per atom